1.
# PBE La2HoPa, relaxed
data_La2HoPa
_cell_length_a 3.4661
_cell_length_b 3.4661
_cell_length_c 10.4185
_cell_angle_alpha 90.00
_cell_angle_beta 90.00
_cell_angle_gamma 90.00
_symmetry_space_group_name_H-M 'P 4/m m m'
_symmetry_Int_Tables_number 123
_symmetry_space_group_name_Hall '-P 4 2'
loop_
_atom_site_label
_atom_site_fract_x
_atom_site_fract_y
_atom_site_fract_z
_atom_site_occupancy
La1 0.0000 0.0000 0.2297 1
Ho1 0.5000 0.5000 0.5000 1
Pa1 0.5000 0.5000 0.0000 1
# **Fermi-level density of states**: 1.659 states/eV per atom
# **M_tot**: 0.00 μB per cell
# **E above lowest polymorph**: 0.00 eV/f.u.
# **V**: 125.2 Å³ per cell



2.
# PBE K2RbSnC, relaxed
data_K2RbSnC
_cell_length_a 6.3611
_cell_length_b 6.3611
_cell_length_c 4.5076
_cell_angle_alpha 90.00
_cell_angle_beta 90.00
_cell_angle_gamma 90.00
_symmetry_space_group_name_H-M 'P 4/m m m'
_symmetry_Int_Tables_number 123
_symmetry_space_group_name_Hall '-P 4 2'
loop_
_atom_site_label
_atom_site_fract_x
_atom_site_fract_y
_atom_site_fract_z
_atom_site_occupancy
K1 0.0000 0.5000 0.0000 1
Rb1 0.0000 0.0000 0.5000 1
Sn1 0.5000 0.5000 0.5000 1
C1 0.5000 0.5000 0.0000 1
# **Fermi-level density of states**: 0.527 states/eV per atom
# **M_tot**: 0.00 μB per cell
# **V**: 182.4 Å³ per cell



3.
# PBE Y3HoPt, relaxed
data_Y3HoPt
_cell_length_a 6.4004
_cell_length_b 5.1349
_cell_length_c 8.7798
_cell_angle_alpha 90.00
_cell_angle_beta 96.93
_cell_angle_gamma 90.00
_symmetry_space_group_name_H-M 'P 1 21/m 1'
_symmetry_Int_Tables_number 11
_symmetry_space_group_name_Hall '-P 2yb'
loop_
_atom_site_label
_atom_site_fract_x
_atom_site_fract_y
_atom_site_fract_z
_atom_site_occupancy
Y1 0.1791 0.2500 0.0209 1
Y2 0.2152 0.2500 0.4429 1
Y3 0.2741 0.7500 0.7597 1
Ho1 0.3872 0.7500 0.2156 1
Pt1 0.0304 0.2500 0.7116 1
# **Fermi-level density of states**: 1.420 states/eV per atom
# **M_tot**: 0.00 μB per cell
# **V**: 286.4 Å³ per cell



no.,ΔH_f (0 K) (meV/atom)
1,152
2,674
3,-473